First-principles (PBE-GGA) data for a geometry-optimized CdHgCl2 structure, as listed in the Alexandria database. Values from VASP.

Values from the calculation:
Space group: No. 99
Energy above the most stable polymorph in this dataset (meV/atom): 426.7
Crystal system: tetragonal
Density of states at the Fermi level (states/eV/cell): 1.180
ΔE_f (raw) (eV per atom): -0.367
Total DFT energy (no corrections) (eV for the cell shown): -6.38
Mass density (Mg/m³): 6.47

```
&SYSTEM
  ibrav = 0, nat = 4, ntyp = 3
/
ATOMIC_SPECIES
Cl 35.45 Cl.upf
Hg 200.59 Hg.upf
Cd 112.41 Cd.upf
CELL_PARAMETERS angstrom
3.481 0.000 0.000
0.000 3.481 0.000
0.000 0.000 8.132
ATOMIC_POSITIONS angstrom
Cl 0.000 0.000 7.593
Cl 1.740 1.740 2.514
Hg 0.000 0.000 4.074
Cd 1.740 1.740 6.149
```